Record 1
An optimized crystal structure of K2SrNi, computed with PBEsol.

Computed properties:
Calculated volume, Å³/atom: 35.9
ΔE_f, meV/atom: 601
Total DFT energy (no corrections), eV per formula unit: -7.86

Lattice parameters (Å, degrees): 4.8675 6.1163 4.8922 90.00 99.83 90.00
Closest atoms and distances in Å follow each position.
Space group P2/m (No. 10)
Symmetry-distinct sites (fractional):
K (0.2035, 0.0000, 0.2962)  3 K 3.04-3.22
Sr (0.5000, 0.5000, 0.0000)  2 Ni 3.14
Ni (0.0000, 0.5000, 0.5000)  2 Sr 3.14, 4 K 3.42

Record 2
An optimized crystal structure of KSr2Ni, computed with PBEsol.

Computed properties:
Calculated volume, Å³/atom: 41.7
ΔE_f, meV/atom: 287
Total DFT energy (no corrections), eV per formula unit: -9.82

Lattice parameters (Å, degrees): 4.1165 4.1165 9.8319 90.00 90.00 90.00
Closest atoms and distances in Å follow each position.
Space group P4mm (No. 99)
Symmetry-distinct sites (fractional):
K (0.0000, 0.0000, 0.0000)  1 Sr 3.64
Sr (0.0000, 0.0000, 0.3699)  4 Ni 2.92
Sr (0.5000, 0.5000, 0.6436)  1 Ni 2.93
Ni (0.5000, 0.5000, 0.3453)  5 Sr 2.92-2.93

Record 3
An optimized crystal structure of KSr3Ni, computed with PBEsol.

Computed properties:
Calculated volume, Å³/atom: 42.1
ΔE_f, meV/atom: 66
Total DFT energy (no corrections), eV per formula unit: -12.48

Lattice parameters (Å, degrees): 5.9498 5.9498 5.9498 90.00 90.00 90.00
Closest atoms and distances in Å follow each position.
Space group Pm-3m (No. 221)
Symmetry-distinct sites (fractional):
K (0.0000, 0.0000, 0.0000)  12 Sr 4.21
Sr (0.0000, 0.5000, 0.5000)  2 Ni 2.97
Ni (0.5000, 0.5000, 0.5000)  6 Sr 2.97